# AcMgZn2Pd2

A relaxed AcMgZn2Pd2 crystal (PBE-GGA, Alexandria via LeMat-Bulk).

Computed properties:
**VASP energy**: -3.719 eV per atom
**M_tot**: 0.00 μB per formula unit
**DOS(E_F)**: 1.659 states/eV/cell

Unit cell a=4.4862 b=4.4862 c=7.1234 alpha=90.00 beta=90.00 gamma=120.00
Space group P-3m1 (No. 164)
Symmetry-distinct sites (fractional):
Ac  0.0000  0.0000  0.0000
Mg  0.0000  0.0000  0.5000
Zn  0.3333  0.6667  0.3189
Pd  0.3333  0.6667  0.6980